# 1
The following is a DFT calculation (PBE) of a relaxed structure of ZrTaP2O.

The structure in POSCAR format:
```
ZrTaP2O
1.0
-1.0309 -1.4389 4.7094
1.8223 -4.5814 -1.0008
3.5001 1.1481 1.1170
P O Zr Ta
2 1 1 1
Cartesian
0.9111 -2.2907 -0.5004
-0.5155 -0.7194 2.3547
1.7500 0.5741 0.5585
0.0000 0.0000 0.0000
2.1457 -2.4361 2.4128
```

The relative energy among the computed polymorphs is 732.2 meV per atom. The calculation puts the uncorrected formation energy at -0.094 eV/atom.


# 2
The following is a DFT calculation (PBE) of a relaxed structure of TbPO4.

The structure in POSCAR format:
```
TbPO4
1.0
6.8583 0.0000 0.0000
0.0000 6.3430 -0.0144
0.0000 4.7016 6.4705
Tb P O
4 4 16
Cartesian
2.3850 8.8159 5.0590
1.0442 6.4650 1.8237
4.4733 2.2288 1.3972
5.8141 4.5796 4.6324
2.3344 5.7350 5.1822
1.0948 3.3842 1.9470
4.5239 5.3096 1.2739
5.7635 7.6604 4.5091
3.4217 4.6766 4.8647
0.0074 2.3258 1.6295
3.4366 6.3681 1.5914
6.8509 8.7189 4.8267
1.1191 4.9193 5.7212
2.3100 2.5685 2.4859
5.7392 6.1253 0.7349
4.5483 8.4761 3.9702
2.7577 6.7562 6.2710
0.6714 4.4054 3.0358
4.1006 4.2884 0.1851
6.1869 6.6393 3.4203
2.0046 6.6673 3.9950
1.4245 4.3165 0.7597
4.8537 4.3773 2.4611
5.4338 6.7281 5.6964
```

The calculation puts the uncorrected formation energy at -2.996 eV/atom.


# 3
The following is a DFT calculation (PBE) of a relaxed structure of TbP3O9.

The structure in POSCAR format:
```
TbP3O9
1.0
10.2297 0.0282 0.0168
1.3816 13.3843 -0.0095
1.3816 6.3687 11.7719
Tb P O
8 24 72
Cartesian
4.0953 14.7782 2.9509
3.7827 10.1315 0.1839
8.8976 5.0029 8.8284
9.2102 9.6496 11.5954
8.5542 8.1520 2.8906
9.5536 13.3697 5.9976
4.4387 11.6291 8.8887
3.4393 6.4113 5.7816
10.1005 3.5721 2.7586
8.0073 15.6679 9.9614
2.8924 16.2090 9.0207
4.9856 4.1132 1.8179
6.5818 5.2582 4.1412
11.5260 13.6489 9.1377
6.4111 14.5229 7.6380
1.4669 6.1322 2.6415
8.7053 3.6073 5.4423
9.4024 13.2916 11.2091
4.2876 16.1738 6.3370
3.5905 6.4895 0.5701
3.9390 10.1022 5.5182
9.0539 9.6789 6.2610
2.0479 12.0006 4.2035
5.8301 10.3535 3.2227
10.9450 7.7805 7.5757
7.1628 9.4276 8.5565
10.7410 10.9452 1.8719
7.3667 12.9345 3.0565
2.2519 8.8359 9.9073
5.6262 6.8466 8.7228
9.0539 13.0794 0.5506
3.9390 6.7017 11.2287
3.8493 3.3503 2.4369
4.0287 16.0282 9.9863
9.1436 16.4307 9.3423
8.9642 3.7529 1.7929
0.5707 2.2165 2.7844
7.3074 16.2629 11.1487
12.4222 17.5646 8.9949
5.6855 3.5181 0.6305
5.3790 5.7639 4.8715
2.4991 12.7378 9.0243
7.6139 14.0172 6.9078
10.4938 7.0433 2.7549
7.6239 6.2443 3.7142
10.4838 13.5545 8.0673
5.3690 13.5368 8.0650
2.5091 6.2266 3.7119
10.0598 15.4999 5.5254
8.0479 7.5523 0.7927
2.9331 4.2811 6.2539
4.9450 12.2288 10.9866
9.1032 4.3914 6.6564
9.0046 11.8506 11.0982
3.8897 15.3897 5.1228
3.9883 7.9305 0.6811
3.9085 8.6072 5.5072
3.9696 10.8241 6.8274
9.0844 11.1739 6.2720
9.0233 8.9569 4.9519
11.6470 12.7181 5.3925
6.4607 8.9944 3.1752
1.3459 7.0630 6.3867
6.5322 10.7866 8.6041
3.0312 12.7858 3.3834
4.8469 10.7005 2.1416
9.9617 6.9953 8.3959
8.1460 9.0806 9.6376
9.5703 10.0152 1.9679
8.5374 13.2933 3.9199
3.4226 9.7659 9.8114
4.4555 6.4878 7.8593
1.7654 10.4421 1.1847
6.1126 13.7503 3.1546
11.2275 9.3390 10.5946
6.8803 6.0308 8.6246
10.1402 18.7701 11.0205
7.9676 1.1629 0.5357
2.8527 1.0110 0.7588
5.0253 18.6182 11.2435
1.0301 4.6039 2.4543
6.8479 15.4156 8.8925
11.9628 15.1772 9.3249
6.1450 4.3655 2.8867
7.2310 4.0825 5.0167
10.8767 13.4394 10.5885
5.7619 15.6986 6.7626
2.1162 6.3417 1.1907
9.6620 4.0609 4.2370
8.4458 14.1352 10.2360
3.3309 15.7202 7.5423
4.5471 5.6459 1.5432
2.6817 10.5867 4.6478
5.1963 10.6366 4.6775
10.3112 9.1944 7.1314
7.7966 9.1445 7.1017
11.0598 11.4405 3.3664
7.0479 11.3846 3.3330
1.9331 8.3406 8.4129
5.9450 8.3965 8.4462
10.3152 12.3612 1.2312
7.7925 12.8232 1.5063
2.6777 7.4199 10.5480
5.2004 6.9579 10.2729
```

The relative energy among the computed polymorphs is 0.0 meV per atom. The calculation puts the uncorrected formation energy at -2.531 eV/atom.